First-principles (GGA+U) data for crystalline ZnFeBi2O6 at its relaxed geometry, as listed in the Alexandria database. Values from VASP.

```
&SYSTEM
  ibrav = 0, nat = 10, ntyp = 4
/
ATOMIC_SPECIES
Zn 65.41 Zn.upf
Fe 55.84 Fe.upf
Bi 208.98 Bi.upf
O 16.00 O.upf
ATOMIC_POSITIONS crystal
Zn 0.8047 0.8047 0.5858
Fe 0.3139 0.3139 0.0584
Bi 0.5323 0.5323 0.4032
Bi 0.0234 0.0234 0.9297
O 0.5955 0.1690 0.2497
O 0.1690 0.9859 0.2497
O 0.9859 0.5954 0.2497
O 0.4506 0.6775 0.7631
O 0.6775 0.1089 0.7631
O 0.1089 0.4506 0.7631
CELL_PARAMETERS angstrom
-3.9246 2.0577 -3.4501
0.8562 -0.0092 -5.5504
-3.0507 -3.6973 -3.3059
```

Crystal system = trigonal
Electronic total energy = -56.579 eV for the cell shown
M_tot = 4.00 Bohr magnetons per cell
N(E_F) = 0.401 states/eV/atom
Symmetry = No. 146
Theoretical density = 7.98 g/cm³